Entry from the Alexandria database: crystalline AgAuS5 at its relaxed geometry (PBE-GGA).

```
AgAuS5
1.0
5.5337 -1.8573 -0.1244
0.2416 5.8320 -0.1244
-4.7791 -3.2892 11.2016
Au S Ag
2 10 2
Cartesian
0.6984 2.6100 2.6760 Au
0.2978 -1.9244 8.2768 Au
3.5279 1.4245 2.9146 S
2.8247 -0.4795 2.6760 S
0.2010 1.1419 8.5155 S
0.7951 -0.4563 2.4373 S
-2.5318 -0.7389 8.0381 S
0.0740 -1.6772 5.9301 S
-1.8286 1.1651 8.2768 S
0.9221 2.3628 5.0227 S
0.8494 2.3128 0.3292 S
0.1468 -1.6272 10.6235 S
-2.3896 -1.6446 5.6008 Ag
0.0000 0.0000 0.0000 Ag
```

Results
As for the total magnetization: 0.00 μB/f.u. The symmetry is C2/c. As for the final energy: -3.701 eV/atom.